Material: GaAg2AsS4
Method: DFT, PBE
State: relaxed

Cell and atoms, written as POSCAR:
```
GaAg2AsS4
1.0
6.2067 0.0000 0.0000
0.0000 6.6848 0.0000
0.0000 0.0000 8.8014
S Ag Ga As
8 4 2 2
direct
0.8731 0.8655 0.5000 S
0.4070 0.6967 0.7226 S
0.9070 0.3033 0.7774 S
0.8515 0.8245 0.0000 S
0.9070 0.3033 0.2226 S
0.3731 0.1345 0.0000 S
0.3515 0.1755 0.5000 S
0.4070 0.6967 0.2774 S
0.9989 0.6819 0.7469 Ag
0.4989 0.3181 0.2469 Ag
0.9989 0.6819 0.2531 Ag
0.4989 0.3181 0.7531 Ag
0.4898 0.8515 0.5000 Ga
0.9898 0.1485 0.0000 Ga
0.4737 0.8019 0.0000 As
0.9737 0.1981 0.5000 As
```

Space group: No. 31
Formation energy without anion corrections: -247 meV/atom
Crystal system: orthorhombic